# 1
Material: MnTlRe2
Method: DFT, PBE
State: relaxed

Calculated values
size of the total moment = 0.73 μB per atom
energy relative to the lowest polymorph listed for this composition = 277 meV/atom
E_form = 0.72 eV per atom
SG = P2/m

Lattice parameters (Å, degrees): 4.7810 2.9247 4.8566 90.00 108.06 90.00
With the nearest neighbours (Å) after each atom.
Element x y z (fractional)
Mn  0.0000  0.0000  0.0000  4 Tl 2.80, 6 Re 2.83, 2 Mn 2.92
Tl  0.5000  0.5000  0.0000  4 Mn 2.80, 6 Re 2.83, 2 Tl 2.92
Re  0.0000  0.5000  0.5000  6 Re 2.80-2.92, 2 Tl 2.83, 4 Mn 2.83
Re  0.5000  0.0000  0.5000  6 Re 2.80-2.92, 2 Mn 2.83, 4 Tl 2.83

---

# 2
Material: MnTlRe
Method: DFT, PBE
State: relaxed

Calculated values
size of the total moment = 0.87 μB per atom
energy relative to the lowest polymorph listed for this composition = 60 meV/atom
E_form = 0.64 eV per atom
SG = P3m1

Lattice parameters (Å, degrees): 2.9803 2.9803 6.7665 90.00 90.00 120.00
With the nearest neighbours (Å) after each atom.
Element x y z (fractional)
Mn  0.0000  0.0000  0.0000  3 Re 2.51
Tl  0.3333  0.6667  0.6431  3 Mn 2.97, 6 Tl 2.98, 3 Re 3.06
Re  0.6667  0.3333  0.2692  3 Mn 2.51

---

# 3
Material: Mn2TlRe
Method: DFT, PBE
State: relaxed

Calculated values
size of the total moment = 1.11 μB per atom
energy relative to the lowest polymorph listed for this composition = 537 meV/atom
E_form = 0.94 eV per atom
SG = I-42d

Lattice parameters (Å, degrees): 5.7419 5.7419 5.7419 103.34 103.34 122.58
With the nearest neighbours (Å) after each atom.
Element x y z (fractional)
Mn  0.0805  0.1250  0.4555  2 Re 2.41
Mn  0.3750  0.9195  0.0445  2 Re 2.41
Mn  0.6695  0.6250  0.5445  2 Re 2.41
Mn  0.8750  0.3305  0.9555  2 Re 2.41
Tl  0.2500  0.7500  0.5000  2 Re 2.76, 4 Mn 2.84
Tl  0.5000  0.5000  0.0000  2 Re 2.76, 4 Mn 2.84
Re  0.0000  0.0000  0.0000  4 Mn 2.41
Re  0.7500  0.2500  0.5000  4 Mn 2.41

---

# 4
Material: MnTlRe2
Method: DFT, PBE
State: relaxed

Calculated values
size of the total moment = 0.00 μB per atom
energy relative to the lowest polymorph listed for this composition = 600 meV/atom
E_form = 1.04 eV per atom
SG = I-42d

Lattice parameters (Å, degrees): 5.7952 5.7952 5.7952 101.29 101.29 127.47
With the nearest neighbours (Å) after each atom.
Element x y z (fractional)
Mn  0.0000  0.0000  0.0000  4 Re 2.35, 2 Tl 2.56
Mn  0.7500  0.2500  0.5000  4 Re 2.35, 2 Tl 2.56
Tl  0.2500  0.7500  0.5000  2 Mn 2.56
Tl  0.5000  0.5000  0.0000  2 Mn 2.56
Re  0.0543  0.6250  0.9293  2 Mn 2.35
Re  0.3750  0.3043  0.4293  2 Mn 2.35
Re  0.6957  0.1250  0.0707  2 Mn 2.35
Re  0.8750  0.9457  0.5707  2 Mn 2.35

---

# 5
Material: MnTlRe2
Method: DFT, PBE
State: relaxed

Calculated values
size of the total moment = 0.47 μB per atom
energy relative to the lowest polymorph listed for this composition = 425 meV/atom
E_form = 0.87 eV per atom
SG = Fm-3m

Lattice parameters (Å, degrees): 4.4817 4.4817 4.4817 60.00 60.00 60.00
With the nearest neighbours (Å) after each atom.
Element x y z (fractional)
Mn  0.0000  0.0000  0.0000  8 Re 2.74
Tl  0.5000  0.5000  0.5000  8 Re 2.74
Re  0.2500  0.2500  0.2500  4 Tl 2.74, 4 Mn 2.74
Re  0.7500  0.7500  0.7500  4 Tl 2.74, 4 Mn 2.74

---

# 6
Material: MnTlRe2
Method: DFT, PBE
State: relaxed

Calculated values
size of the total moment = 0.63 μB per atom
energy relative to the lowest polymorph listed for this composition = 453 meV/atom
E_form = 0.90 eV per atom
SG = Cmmm

Lattice parameters (Å, degrees): 4.9285 4.9285 2.9383 90.00 90.00 113.74
With the nearest neighbours (Å) after each atom.
Element x y z (fractional)
Mn  0.0000  0.0000  0.0000  2 Tl 2.69, 8 Re 2.87, 2 Mn 2.94
Tl  0.5000  0.5000  0.0000  2 Mn 2.69, 8 Re 2.87, 2 Tl 2.94
Re  0.0000  0.5000  0.5000  4 Re 2.69-2.94, 4 Tl 2.87, 4 Mn 2.87
Re  0.5000  0.0000  0.5000  4 Re 2.69-2.94, 4 Tl 2.87, 4 Mn 2.87

---

# 7
Material: MnTl2Re
Method: DFT, PBE
State: relaxed

Calculated values
size of the total moment = 0.70 μB per atom
energy relative to the lowest polymorph listed for this composition = 264 meV/atom
E_form = 0.77 eV per atom
SG = Cm

Lattice parameters (Å, degrees): 5.7350 5.7350 5.0102 110.65 110.65 30.77
With the nearest neighbours (Å) after each atom.
Element x y z (fractional)
Mn  0.0000  0.0000  0.0000  2 Re 2.50
Tl  0.2296  0.2296  0.8300  4 Re 2.94-3.02, 3 Mn 2.96-3.18, 3 Tl 3.04-3.17
Tl  0.4414  0.4414  0.4603  4 Mn 2.96-3.02, 3 Re 3.01-3.12, 3 Tl 3.04-3.17
Re  0.6778  0.6778  0.2967  2 Mn 2.50

---

# 8
Material: MnTl2Re
Method: DFT, PBE
State: relaxed

Calculated values
size of the total moment = 0.76 μB per atom
energy relative to the lowest polymorph listed for this composition = 426 meV/atom
E_form = 0.93 eV per atom
SG = Cmmm

Lattice parameters (Å, degrees): 3.0498 3.0498 9.5599 90.00 90.00 118.61
With the nearest neighbours (Å) after each atom.
Element x y z (fractional)
Mn  0.0000  0.0000  0.0000  4 Tl 2.83, 6 Mn 3.05-3.11
Tl  0.5000  0.5000  0.2475  2 Mn 2.83, 2 Re 2.87, 6 Tl 3.05-3.11
Tl  0.5000  0.5000  0.7525  2 Mn 2.83, 2 Re 2.87, 6 Tl 3.05-3.11
Re  0.0000  0.0000  0.5000  4 Tl 2.87, 6 Re 3.05-3.11

---

# 9
Material: MnTl2Re
Method: DFT, PBE
State: relaxed

Calculated values
size of the total moment = 0.83 μB per atom
energy relative to the lowest polymorph listed for this composition = 420 meV/atom
E_form = 0.93 eV per atom
SG = C2/m

Lattice parameters (Å, degrees): 5.6959 5.6959 3.0641 105.51 105.51 114.89
With the nearest neighbours (Å) after each atom.
Element x y z (fractional)
Mn  0.0000  0.0000  0.0000  4 Tl 2.85, 2 Mn 3.06, 4 Re 3.07
Tl  0.0000  0.5000  0.0000  2 Re 2.85, 2 Mn 2.85, 6 Tl 3.06-3.07
Tl  0.5000  0.0000  0.0000  2 Re 2.85, 2 Mn 2.85, 6 Tl 3.06-3.07
Re  0.5000  0.5000  0.0000  4 Tl 2.85, 2 Re 3.06, 4 Mn 3.07

---

# 10
Material: Mn2TlRe
Method: DFT, PBE
State: relaxed

Calculated values
size of the total moment = 0.00 μB per atom
energy relative to the lowest polymorph listed for this composition = 324 meV/atom
E_form = 0.73 eV per atom
SG = Fm-3m

Lattice parameters (Å, degrees): 4.3348 4.3348 4.3348 60.00 60.00 60.00
With the nearest neighbours (Å) after each atom.
Element x y z (fractional)
Mn  0.2500  0.2500  0.2500  4 Re 2.65, 4 Tl 2.65
Mn  0.7500  0.7500  0.7500  4 Re 2.65, 4 Tl 2.65
Tl  0.0000  0.0000  0.0000  8 Mn 2.65
Re  0.5000  0.5000  0.5000  8 Mn 2.65

---

# 11
Material: MnTlRe
Method: DFT, PBE
State: relaxed

Calculated values
size of the total moment = 0.34 μB per atom
energy relative to the lowest polymorph listed for this composition = 288 meV/atom
E_form = 0.87 eV per atom
SG = F-43m

Lattice parameters (Å, degrees): 4.2376 4.2376 4.2376 60.00 60.00 60.00
With the nearest neighbours (Å) after each atom.
Element x y z (fractional)
Mn  0.0000  0.0000  0.0000  4 Tl 2.59, 4 Re 2.59
Tl  0.2500  0.2500  0.2500  4 Mn 2.59
Re  0.7500  0.7500  0.7500  4 Mn 2.59

---

# 12
Material: MnTlRe2
Method: DFT, PBE
State: relaxed

Calculated values
size of the total moment = 0.54 μB per atom
energy relative to the lowest polymorph listed for this composition = 184 meV/atom
E_form = 0.63 eV per atom
SG = Immm

Lattice parameters (Å, degrees): 5.6889 5.6889 5.6889 150.91 133.03 56.21
With the nearest neighbours (Å) after each atom.
Element x y z (fractional)
Mn  0.0000  0.0000  0.0000  4 Re 2.58, 4 Tl 2.68, 2 Mn 2.86
Tl  0.5000  0.5000  0.0000  4 Mn 2.68, 2 Tl 2.86
Re  0.2139  0.7139  0.5000  2 Mn 2.58, 6 Re 2.78-2.86
Re  0.7861  0.2861  0.5000  2 Mn 2.58, 6 Re 2.78-2.86

---

no.,VASP energy (eV per atom)
1,-8.387
2,-7.353
3,-7.346
4,-8.065
5,-8.240
6,-8.211
7,-5.817
8,-5.655
9,-5.661
10,-7.559
11,-7.125
12,-8.480